A relaxed GaAgTe crystal, computed with PBE.

Unit cell a=4.813 b=4.813 c=4.813 alpha=60.00 beta=60.00 gamma=60.00
Fractional positions:
Ga (0.000, 0.000, 0.000)
Ag (0.250, 0.250, 0.250)
Te (0.500, 0.500, 0.500)

Calculated values
* space group: F-43m (216)
* V: 78.8 Å³/f.u.
* E_tot: -3.09 eV/atom

A relaxed GaAgTe2 crystal, computed with PBE.

Unit cell a=5.214 b=5.214 c=5.214 alpha=60.00 beta=60.00 gamma=60.00
Fractional positions:
Ga (0.000, 0.000, 0.000)
Ag (0.250, 0.250, 0.250)
Te (0.500, 0.500, 0.500)
Te (0.750, 0.750, 0.750)

Calculated values
* space group: F-43m (216)
* V: 100.2 Å³/f.u.
* E_tot: -2.80 eV/atom

A relaxed GaAgTe2 crystal, computed with PBE.

Unit cell a=7.654 b=7.654 c=7.654 alpha=130.53 beta=130.53 gamma=72.56
Fractional positions:
Ga (0.000, 0.000, 0.000)
Ga (0.750, 0.250, 0.500)
Ag (0.250, 0.750, 0.500)
Ag (0.500, 0.500, 0.000)
Te (0.108, 0.625, 0.983)
Te (0.375, 0.358, 0.483)
Te (0.642, 0.125, 0.017)
Te (0.875, 0.892, 0.517)

Calculated values
* space group: I-42d (122)
* V: 126.5 Å³/f.u.
* E_tot: -3.33 eV/atom

A relaxed GaAgTe2 crystal, computed with PBE.

Unit cell a=8.444 b=8.406 c=7.628 alpha=90.00 beta=114.09 gamma=90.00
Fractional positions:
Ga (0.163, 0.131, 0.491)
Ga (0.163, 0.369, 0.991)
Ga (0.837, 0.631, 0.009)
Ga (0.837, 0.869, 0.509)
Ag (0.374, 0.611, 0.572)
Ag (0.374, 0.889, 0.072)
Ag (0.626, 0.111, 0.928)
Ag (0.626, 0.389, 0.428)
Te (0.183, 0.645, 0.173)
Te (0.183, 0.855, 0.673)
Te (0.341, 0.162, 0.270)
Te (0.341, 0.338, 0.770)
Te (0.659, 0.662, 0.230)
Te (0.659, 0.838, 0.730)
Te (0.817, 0.145, 0.327)
Te (0.817, 0.355, 0.827)

Calculated values
* space group: P2_1/c (14)
* V: 123.6 Å³/f.u.
* E_tot: -3.28 eV/atom

A relaxed Ga2AgTe2 crystal, computed with PBE.

Unit cell a=7.393 b=7.393 c=7.393 alpha=142.83 beta=142.83 gamma=53.58
Fractional positions:
Ga (0.250, 0.750, 0.500)
Ga (0.750, 0.250, 0.500)
Ag (0.000, 0.000, 0.000)
Te (0.370, 0.370, 0.000)
Te (0.630, 0.630, 0.000)

Calculated values
* space group: I4/mmm (139)
* V: 146.6 Å³/f.u.
* E_tot: -2.86 eV/atom

A relaxed TlGaAg2Te4 crystal, computed with PBE.

Unit cell a=7.871 b=7.871 c=7.871 alpha=130.83 beta=130.83 gamma=72.09
Fractional positions:
Tl (0.000, 0.000, 0.000)
Ga (0.750, 0.250, 0.500)
Ag (0.250, 0.750, 0.500)
Ag (0.500, 0.500, 0.000)
Te (0.117, 0.135, 0.517)
Te (0.400, 0.883, 0.018)
Te (0.618, 0.600, 0.483)
Te (0.865, 0.382, 0.982)

Calculated values
* space group: I-4 (82)
* V: 273.0 Å³/f.u.
* E_tot: -3.16 eV/atom

The highest V belongs to which entry? TlGaAg2Te4